A relaxed structure of CaFe2O4. Source: Alexandria via LeMat-Bulk, functional PBE+U.

Summary:
As for the magnetization: 0.5702 μB/atom. For the uncorrected energy, the calculation gives -88.0 eV/cell. As for the space-group type: No. 12. The energy above the most stable polymorph in this dataset is 380 meV/atom.

Lattice parameters (Å, degrees): 6.888 6.888 9.284 54.60 54.60 26.13
Last column: magnetic moment on the atom in μB.
Element x y z (fractional)
Fe1 0.873 0.873 0.463  4.31
O1 0.243 0.243 0.617  0.26
O2 0.757 0.757 0.383  0.26
O3 0.534 0.534 0.711  0.18
Fe2 0.642 0.642 0.168  -1.08
O4 0.466 0.466 0.289  0.18
O5 0.832 0.832 0.999  0.07
O6 0.168 0.168 0.001  0.07
Fe3 0.358 0.358 0.832  -1.08
Fe4 0.127 0.127 0.537  4.31
O7 0.871 0.871 0.689  0.13
Ca1 0.654 0.654 0.831  0.01
Ca2 0.346 0.346 0.169  0.01
O8 0.129 0.129 0.311  0.13